A geometry-optimized CrHF2 structure, computed with PBE with a Hubbard U.

Properties
The energy relative to the lowest polymorph listed for this composition comes out at 0.00 eV per formula unit. For the density of states at the Fermi level, the calculation gives 0.695 states/eV/atom. For the total energy, the calculation gives -5.065 eV/atom.

```
data_CrHF2
_chemical_formula_sum 'Cr3 H3 F6'
_cell_length_a 3.4059
_cell_length_b 3.4059
_cell_length_c 15.4444
_cell_angle_alpha 90.00
_cell_angle_beta 90.00
_cell_angle_gamma 120.00
_symmetry_space_group_name_H-M 'R -3 m'
_symmetry_Int_Tables_number 166
_symmetry_space_group_name_Hall '-R 3 2"'
loop_
_atom_site_label
_atom_site_fract_x
_atom_site_fract_y
_atom_site_fract_z
_atom_site_occupancy
Cr1 0.0000 0.0000 0.0000 1
H1 0.0000 0.0000 0.5000 1
F1 0.0000 0.0000 0.4255 1
```